# HfTe2CN

An optimized crystal structure of HfTe2CN (PBEsol, the Alexandria database).

a = 2.675 Å, b = 5.892 Å, c = 5.892 Å
α = 90.00°, β = 90.00°, γ = 90.00°
Sites, in units of the cell vectors:
Te1 0.000 0.000 0.500
N1 0.500 0.000 0.000
Te2 0.000 0.500 0.000
Hf1 0.500 0.500 0.500
C1 0.000 0.000 0.000

## Properties
The value obtained for the total energy is -31.229 eV/cell. As for the space group: P4/mmm (123). The formation energy (no corrections) is 0.899 eV/atom. As for the density of states at the Fermi level: 0.61 states/eV per atom. As for the spin magnetization: 0.0 μB per cell.